Rb2MnIr3O12 (PBE with a Hubbard U, optimized geometry); DFT total energy = -112.680 eV for the cell shown; N(E_F) = 10.55 states/eV/f.u.
1.0
3.612 2.085 5.794
-3.612 2.085 5.794
0.000 -4.171 5.794
Rb Mn Ir O
2 1 3 12
direct
0.126 0.126 0.126 Rb
0.874 0.874 0.874 Rb
0.500 0.500 0.500 Mn
0.000 0.500 0.500 Ir
0.500 0.000 0.500 Ir
0.500 0.500 0.000 Ir
0.179 0.179 0.574 O
0.179 0.574 0.179 O
0.180 0.569 0.569 O
0.426 0.821 0.821 O
0.431 0.431 0.820 O
0.431 0.820 0.431 O
0.569 0.180 0.569 O
0.569 0.569 0.180 O
0.574 0.179 0.179 O
0.820 0.431 0.431 O
0.821 0.426 0.821 O
0.821 0.821 0.426 O